Material: SmEr3Mg8
Method: DFT, GGA-PBE
State: relaxed

The structure in POSCAR format:
```
SmEr3Mg8
1.0
6.0566 0.0000 0.0000
-3.0283 5.2451 0.0000
0.0000 0.0000 9.7534
Sm Er Mg
1 3 8
direct
0.0000 0.0000 0.0000
0.0000 0.0000 0.3728
0.6667 0.3333 0.4971
0.6667 0.3333 0.8674
0.1628 0.3256 0.6834
0.1628 0.8372 0.6834
0.3333 0.6667 0.4347
0.3333 0.6667 0.9344
0.5043 0.0087 0.1857
0.5043 0.4957 0.1857
0.6744 0.8372 0.6834
0.9913 0.4957 0.1857
```

Properties
Volume: 309.8 Å³ per cell
Symmetry: P3m1 (156)
ΔE_f: -1.498 kcal/mol of atoms
Total energy: -2.6620 eV/atom